## Nd2CdGe (PBE-GGA)

Data for a relaxed Nd2CdGe crystal.

a b c (Å): 6.238 4.349 8.752
angles (deg): 90.00 109.41 90.00
Space group P2_1/m (No. 11)
Asymmetric unit:
Nd: 0.200 0.250 0.423 x2
Nd: 0.276 0.750 0.064 x2
Cd: 0.367 0.750 0.713 x2
Ge: 0.121 0.250 0.791 x2

Energy of formation = -0.517 eV per atom
Total moment = 0.6 μB/f.u.
DOS at the Fermi energy = 10.9 states/eV per cell